<a>
The following is a PBE+U calculation of a relaxed AlCoAsO crystal, from OQMD via LeMat-Bulk.

Calculated values
total magnetic moment	2.9	μB/f.u.
volume	17.4	Å³ per atom
ρ	4.23	g/cm³

Lattice parameters (Å, degrees): 4.064 4.064 8.406 90.00 90.00 90.00
Positions (direct):
O  0.750  0.250  0.000
Co  0.750  0.750  0.999
As  0.750  0.750  0.318
Al  0.750  0.250  0.500
Al  0.250  0.750  0.500
Co  0.250  0.250  0.001
O  0.250  0.750  0.000
As  0.250  0.250  0.682

=====

<b>
The following is a PBE+U calculation of a relaxed AlCoAsO crystal, from OQMD via LeMat-Bulk.

Calculated values
total magnetic moment	2.0	μB/f.u.
volume	13.5	Å³ per atom
ρ	5.45	g/cm³

Lattice parameters (Å, degrees): 3.493 3.493 8.838 90.00 90.00 90.00
Last column: magnetic moment on the atom in μB.
Positions (direct):
As  0.000  0.500  0.694  0.01
Al  0.500  0.000  0.908  0.01
O  0.500  0.500  0.000  0.02
Al  0.000  0.500  0.092  0.01
Co  0.500  0.500  0.500  1.93
Co  0.000  0.000  0.500  1.93
O  0.000  0.000  0.000  0.02
As  0.500  0.000  0.306  0.01

=====

The most stable structure shown above is <b>; the least stable is <a>.